No. 1
# Na2HgAs2 meta-GGA SCAN single point on PBEsol structure
data_Na2HgAs2
_chemical_formula_sum 'Na4 Hg2 As4'
_cell_length_a 7.0103
_cell_length_b 7.0103
_cell_length_c 4.7098
_cell_angle_alpha 90.00
_cell_angle_beta 90.00
_cell_angle_gamma 90.00
_symmetry_space_group_name_H-M 'P 4/m b m'
_symmetry_Int_Tables_number 127
_symmetry_space_group_name_Hall '-P 4 2ab'
loop_
_atom_site_label
_atom_site_type_symbol
_atom_site_fract_x
_atom_site_fract_y
_atom_site_fract_z
_atom_site_occupancy
Na1 Na 0.1712 0.3288 0.0000 1
Hg1 Hg 0.0000 0.0000 0.5000 1
As1 As 0.1283 0.6283 0.5000 1
# Magnetization in μB per atom: 0.00
# Final energy in eV per formula unit: -118.7
# DOS(E_F) in states/eV per cell: 0.9
# Crystal system: tetragonal
# DFT formation energy in eV/atom: -0.35



No. 2
# NaHgAsP2 meta-GGA SCAN single point on PBEsol structure
data_NaHgAsP2
_chemical_formula_sum 'Na1 Hg1 As1 P2'
_cell_length_a 4.8083
_cell_length_b 4.8083
_cell_length_c 5.2711
_cell_angle_alpha 90.00
_cell_angle_beta 90.00
_cell_angle_gamma 90.00
_symmetry_space_group_name_H-M 'P 4/m m m'
_symmetry_Int_Tables_number 123
_symmetry_space_group_name_Hall '-P 4 2'
loop_
_atom_site_label
_atom_site_type_symbol
_atom_site_fract_x
_atom_site_fract_y
_atom_site_fract_z
_atom_site_occupancy
Na1 Na 0.0000 0.0000 0.0000 1
Hg1 Hg 0.5000 0.5000 0.0000 1
As1 As 0.5000 0.5000 0.5000 1
P1 P 0.0000 0.5000 0.5000 1
# Magnetization in μB per atom: 0.00
# Final energy in eV per formula unit: -111.1
# DOS(E_F) in states/eV per cell: 2.8
# Crystal system: tetragonal
# DFT formation energy in eV/atom: 0.46



No. 3
# NiHg2As meta-GGA SCAN single point on PBEsol structure
data_NiHg2As
_chemical_formula_sum 'Ni2 Hg4 As2'
_cell_length_a 2.9247
_cell_length_b 3.8177
_cell_length_c 13.2455
_cell_angle_alpha 90.00
_cell_angle_beta 90.00
_cell_angle_gamma 90.00
_symmetry_space_group_name_H-M 'I m m m'
_symmetry_Int_Tables_number 71
_symmetry_space_group_name_Hall '-I 2 2'
loop_
_atom_site_label
_atom_site_type_symbol
_atom_site_fract_x
_atom_site_fract_y
_atom_site_fract_z
_atom_site_occupancy
Ni1 Ni 0.0000 0.0000 0.0000 1
Hg1 Hg 0.0000 0.5000 0.3196 1
As1 As 0.0000 0.0000 0.5000 1
# Magnetization in μB per atom: 0.00
# Final energy in eV per formula unit: -172.2
# DOS(E_F) in states/eV per cell: 4.0
# Crystal system: orthorhombic
# DFT formation energy in eV/atom: 0.12



No. 4
# NiSn2HgAs meta-GGA SCAN single point on PBEsol structure
data_NiSn2HgAs
_chemical_formula_sum 'Ni1 Sn2 Hg1 As1'
_cell_length_a 4.8548
_cell_length_b 4.8548
_cell_length_c 4.8670
_cell_angle_alpha 90.00
_cell_angle_beta 90.00
_cell_angle_gamma 90.00
_symmetry_space_group_name_H-M 'P 4/m m m'
_symmetry_Int_Tables_number 123
_symmetry_space_group_name_Hall '-P 4 2'
loop_
_atom_site_label
_atom_site_type_symbol
_atom_site_fract_x
_atom_site_fract_y
_atom_site_fract_z
_atom_site_occupancy
Ni1 Ni 0.0000 0.0000 0.0000 1
Sn1 Sn 0.0000 0.5000 0.0000 1
Hg1 Hg 0.0000 0.0000 0.5000 1
As1 As 0.5000 0.5000 0.5000 1
# Magnetization in μB per atom: 0.00
# Final energy in eV per formula unit: -174.9
# DOS(E_F) in states/eV per cell: 3.3
# Crystal system: tetragonal
# DFT formation energy in eV/atom: 0.30



No. 5
# YNiHg2As meta-GGA SCAN single point on PBEsol structure
data_YNiHg2As
_chemical_formula_sum 'Y1 Ni1 Hg2 As1'
_cell_length_a 5.1903
_cell_length_b 5.1903
_cell_length_c 4.2653
_cell_angle_alpha 90.00
_cell_angle_beta 90.00
_cell_angle_gamma 90.00
_symmetry_space_group_name_H-M 'P 4/m m m'
_symmetry_Int_Tables_number 123
_symmetry_space_group_name_Hall '-P 4 2'
loop_
_atom_site_label
_atom_site_type_symbol
_atom_site_fract_x
_atom_site_fract_y
_atom_site_fract_z
_atom_site_occupancy
Y1 Y 0.0000 0.0000 0.0000 1
Ni1 Ni 0.5000 0.5000 0.0000 1
Hg1 Hg 0.0000 0.5000 0.5000 1
As1 As 0.5000 0.5000 0.5000 1
# Magnetization in μB per atom: 0.00
# Final energy in eV per formula unit: -200.2
# DOS(E_F) in states/eV per cell: 2.6
# Crystal system: tetragonal
# DFT formation energy in eV/atom: 0.06



No. 6
# HgAs2O meta-GGA SCAN single point on PBEsol structure
data_HgAs2O
_chemical_formula_sum 'Hg4 As8 O4'
_cell_length_a 6.3552
_cell_length_b 6.3552
_cell_length_c 6.3552
_cell_angle_alpha 90.00
_cell_angle_beta 90.00
_cell_angle_gamma 90.00
_symmetry_space_group_name_H-M 'F m -3 m'
_symmetry_Int_Tables_number 225
_symmetry_space_group_name_Hall '-F 4 2 3'
loop_
_atom_site_label
_atom_site_type_symbol
_atom_site_fract_x
_atom_site_fract_y
_atom_site_fract_z
_atom_site_occupancy
Hg1 Hg 0.0000 0.0000 0.0000 1
As1 As 0.2500 0.2500 0.2500 1
O1 O 0.0000 0.0000 0.5000 1
# Magnetization in μB per atom: 0.00
# Final energy in eV per formula unit: -112.6
# DOS(E_F) in states/eV per cell: 9.2
# Crystal system: cubic
# Formation energy from raw total energies in eV/atom: 0.56



No. 7
# HgAsPO2 meta-GGA SCAN single point on PBEsol structure
data_HgAsPO2
_chemical_formula_sum 'Hg1 As1 P1 O2'
_cell_length_a 4.0395
_cell_length_b 4.0395
_cell_length_c 5.0492
_cell_angle_alpha 90.00
_cell_angle_beta 90.00
_cell_angle_gamma 90.00
_symmetry_space_group_name_H-M 'P 4/m m m'
_symmetry_Int_Tables_number 123
_symmetry_space_group_name_Hall '-P 4 2'
loop_
_atom_site_label
_atom_site_type_symbol
_atom_site_fract_x
_atom_site_fract_y
_atom_site_fract_z
_atom_site_occupancy
Hg1 Hg 0.0000 0.0000 0.0000 1
As1 As 0.5000 0.5000 0.5000 1
P1 P 0.0000 0.0000 0.5000 1
O1 O 0.0000 0.5000 0.0000 1
# Magnetization in μB per atom: 0.00
# Final energy in eV per formula unit: -107.1
# DOS(E_F) in states/eV per cell: 2.4
# Crystal system: tetragonal
# Formation energy from raw total energies in eV/atom: 0.82



No. 8
# SrHgAs2O7 meta-GGA SCAN single point on PBEsol structure
data_SrHgAs2O7
_chemical_formula_sum 'Sr2 Hg2 As4 O14'
_cell_length_a 5.8354
_cell_length_b 7.2919
_cell_length_c 7.5145
_cell_angle_alpha 78.64
_cell_angle_beta 89.79
_cell_angle_gamma 81.02
_symmetry_space_group_name_H-M 'P -1'
_symmetry_Int_Tables_number 2
loop_
_symmetry_equiv_pos_as_xyz
'x,y,z'
'-x,-y,-z'
loop_
_atom_site_label
_atom_site_type_symbol
_atom_site_fract_x
_atom_site_fract_y
_atom_site_fract_z
_atom_site_occupancy
Sr1 Sr 0.1785 0.2280 0.4376 1
Hg1 Hg 0.1892 0.3268 0.9062 1
As1 As 0.2926 0.8322 0.8784 1
As2 As 0.3156 0.7234 0.3205 1
O1 O 0.0857 0.6907 0.8649 1
O2 O 0.1061 0.5838 0.3246 1
O3 O 0.2181 0.0548 0.7607 1
O4 O 0.2543 0.8694 0.4687 1
O5 O 0.2909 0.8797 0.1028 1
O6 O 0.4067 0.3936 0.6538 1
O7 O 0.4350 0.2776 0.1544 1
# Magnetization in μB per atom: 0.00
# Final energy in eV per formula unit: -192.5
# DOS(E_F) in states/eV per cell: 0.0
# Crystal system: triclinic
# Formation energy from raw total energies in eV/atom: -1.64



No. 9
# ZrHgAs2O meta-GGA SCAN single point on PBEsol structure
data_ZrHgAs2O
_chemical_formula_sum 'Zr1 Hg1 As2 O1'
_cell_length_a 5.0706
_cell_length_b 5.0706
_cell_length_c 5.6664
_cell_angle_alpha 90.00
_cell_angle_beta 90.00
_cell_angle_gamma 90.00
_symmetry_space_group_name_H-M 'P 4/m m m'
_symmetry_Int_Tables_number 123
_symmetry_space_group_name_Hall '-P 4 2'
loop_
_atom_site_label
_atom_site_type_symbol
_atom_site_fract_x
_atom_site_fract_y
_atom_site_fract_z
_atom_site_occupancy
Zr1 Zr 0.0000 0.0000 0.0000 1
Hg1 Hg 0.0000 0.0000 0.5000 1
As1 As 0.0000 0.5000 0.0000 1
O1 O 0.5000 0.5000 0.5000 1
# Magnetization in μB per atom: 0.39
# Final energy in eV per formula unit: -142.2
# DOS(E_F) in states/eV per cell: 5.9
# Crystal system: tetragonal
# Formation energy from raw total energies in eV/atom: 0.65



No. 10
# HgAs2Os meta-GGA SCAN single point on PBEsol structure
data_HgAs2Os
_chemical_formula_sum 'Hg2 As4 Os2'
_cell_length_a 2.9313
_cell_length_b 4.9913
_cell_length_c 10.0063
_cell_angle_alpha 90.00
_cell_angle_beta 90.00
_cell_angle_gamma 90.00
_symmetry_space_group_name_H-M 'C m m 2'
_symmetry_Int_Tables_number 35
loop_
_symmetry_equiv_pos_as_xyz
'x,y,z'
'-x,-y,z'
'-x,y,z'
'x,-y,z'
'x+1/2,y+1/2,z'
'-x+1/2,-y+1/2,z'
'-x+1/2,y+1/2,z'
'x+1/2,-y+1/2,z'
loop_
_atom_site_label
_atom_site_type_symbol
_atom_site_fract_x
_atom_site_fract_y
_atom_site_fract_z
_atom_site_occupancy
Hg1 Hg 0.0000 0.0000 0.0000 1
As1 As 0.0000 0.0000 0.4412 1
As2 As 0.0000 0.5000 0.7376 1
Os1 Os 0.0000 0.5000 0.2466 1
# Magnetization in μB per atom: 0.00
# Final energy in eV per formula unit: -178.1
# DOS(E_F) in states/eV per cell: 6.0
# Crystal system: orthorhombic
# DFT formation energy in eV/atom: 0.59



No. 11
# HgAs2Os meta-GGA SCAN single point on PBEsol structure
data_HgAs2Os
_chemical_formula_sum 'Hg2 As4 Os2'
_cell_length_a 4.0468
_cell_length_b 4.0468
_cell_length_c 8.3514
_cell_angle_alpha 90.00
_cell_angle_beta 90.00
_cell_angle_gamma 90.00
_symmetry_space_group_name_H-M 'I -4 m 2'
_symmetry_Int_Tables_number 119
_symmetry_space_group_name_Hall 'I -4 -2'
loop_
_atom_site_label
_atom_site_type_symbol
_atom_site_fract_x
_atom_site_fract_y
_atom_site_fract_z
_atom_site_occupancy
Hg1 Hg 0.0000 0.0000 0.0000 1
As1 As 0.0000 0.0000 0.5000 1
As2 As 0.0000 0.5000 0.7500 1
Os1 Os 0.0000 0.5000 0.2500 1
# Magnetization in μB per atom: 0.00
# Final energy in eV per formula unit: -176.8
# DOS(E_F) in states/eV per cell: 6.0
# Crystal system: tetragonal
# DFT formation energy in eV/atom: 0.90



No. 12
# HgAs2P meta-GGA SCAN single point on PBEsol structure
data_HgAs2P
_chemical_formula_sum 'Hg4 As8 P4'
_cell_length_a 6.6863
_cell_length_b 6.6863
_cell_length_c 6.6863
_cell_angle_alpha 90.00
_cell_angle_beta 90.00
_cell_angle_gamma 90.00
_symmetry_space_group_name_H-M 'F -4 3 m'
_symmetry_Int_Tables_number 216
_symmetry_space_group_name_Hall 'F -4 2 3'
loop_
_atom_site_label
_atom_site_type_symbol
_atom_site_fract_x
_atom_site_fract_y
_atom_site_fract_z
_atom_site_occupancy
Hg1 Hg 0.0000 0.0000 0.0000 1
As1 As 0.0000 0.0000 0.5000 1
As2 As 0.2500 0.2500 0.2500 1
P1 P 0.2500 0.2500 0.7500 1
# Energy above the most stable polymorph in this dataset in meV/atom: 362
# Magnetization in μB per atom: 0.00
# Final energy in eV per formula unit: -116.3
# DOS(E_F) in states/eV per cell: 11.3
# Crystal system: cubic
# DFT formation energy in eV/atom: 0.65



Q: Which of these has the lowest DOS(E_F)?
A: SrHgAs2O7



Q: Among the records above, which one has the highest final energy?
A: HgAsPO2